No. 1
# SrTl2W (GGA-PBE, relaxed)
data_SrTl2W
_cell_length_a 4.797
_cell_length_b 4.797
_cell_length_c 4.574
_cell_angle_alpha 90.00
_cell_angle_beta 90.00
_cell_angle_gamma 90.00
_symmetry_space_group_name_H-M 'P 1'
_symmetry_Int_Tables_number 1
loop_
_symmetry_equiv_pos_as_xyz
'x,y,z'
loop_
_atom_site_label
_atom_site_fract_x
_atom_site_fract_y
_atom_site_fract_z
Sr1 0.000 0.000 0.000
Tl1 0.000 0.500 0.500
Tl2 0.500 0.000 0.500
W1 0.500 0.500 0.000
# DFT formation energy: 0.864 eV/atom
# energy above the lowest structure with this stoichiometry: 256 meV per atom
# total DFT energy (no corrections): -15.910 eV/cell

=====

No. 2
# RbSmBi (GGA-PBE, relaxed)
data_RbSmBi
_cell_length_a 14.000
_cell_length_b 14.000
_cell_length_c 14.000
_cell_angle_alpha 21.37
_cell_angle_beta 21.37
_cell_angle_gamma 21.37
_symmetry_space_group_name_H-M 'P 1'
_symmetry_Int_Tables_number 1
loop_
_symmetry_equiv_pos_as_xyz
'x,y,z'
loop_
_atom_site_label
_atom_site_fract_x
_atom_site_fract_y
_atom_site_fract_z
Rb1 0.113 0.113 0.113
Rb2 0.887 0.887 0.887
Sm1 0.304 0.304 0.304
Sm2 0.696 0.696 0.696
Bi1 0.386 0.386 0.386
Bi2 0.614 0.614 0.614
# DFT formation energy: -0.420 eV/atom
# total DFT energy (no corrections): -21.654 eV/cell

=====

No. 3
# AlW2Cl (GGA-PBE, relaxed)
data_AlW2Cl
_cell_length_a 5.089
_cell_length_b 5.089
_cell_length_c 5.276
_cell_angle_alpha 111.38
_cell_angle_beta 111.38
_cell_angle_gamma 31.49
_symmetry_space_group_name_H-M 'P 1'
_symmetry_Int_Tables_number 1
loop_
_symmetry_equiv_pos_as_xyz
'x,y,z'
loop_
_atom_site_label
_atom_site_fract_x
_atom_site_fract_y
_atom_site_fract_z
Al1 0.000 0.000 0.000
W1 0.241 0.241 0.764
W2 0.759 0.759 0.236
Cl1 0.500 0.500 0.500
# formation energy (no corrections): 0.59 eV per atom
# energy above the lowest structure with this stoichiometry: 355 meV per atom
# total DFT energy (no corrections): -29.140 eV/cell

=====

No. 4
# Zr2SiSb (GGA-PBE, relaxed)
data_Zr2SiSb
_cell_length_a 4.908
_cell_length_b 4.908
_cell_length_c 4.908
_cell_angle_alpha 60.00
_cell_angle_beta 60.00
_cell_angle_gamma 60.00
_symmetry_space_group_name_H-M 'P 1'
_symmetry_Int_Tables_number 1
loop_
_symmetry_equiv_pos_as_xyz
'x,y,z'
loop_
_atom_site_label
_atom_site_fract_x
_atom_site_fract_y
_atom_site_fract_z
Zr1 0.000 0.000 0.000
Zr2 0.250 0.250 0.250
Si1 0.750 0.750 0.750
Sb1 0.500 0.500 0.500
# formation energy (no corrections): 0.05 eV per atom
# energy above the lowest structure with this stoichiometry: 721 meV per atom
# total DFT energy (no corrections): -26.452 eV/cell

=====

No. 5
# BaSrCa2Ir (GGA-PBE, relaxed)
data_BaSrCa2Ir
_cell_length_a 5.725
_cell_length_b 5.725
_cell_length_c 5.972
_cell_angle_alpha 90.00
_cell_angle_beta 90.00
_cell_angle_gamma 90.00
_symmetry_space_group_name_H-M 'P 1'
_symmetry_Int_Tables_number 1
loop_
_symmetry_equiv_pos_as_xyz
'x,y,z'
loop_
_atom_site_label
_atom_site_fract_x
_atom_site_fract_y
_atom_site_fract_z
Ba1 0.000 0.000 0.000
Sr1 0.500 0.500 0.000
Ca1 0.000 0.500 0.500
Ca2 0.500 0.000 0.500
Ir1 0.500 0.500 0.500
# DFT formation energy: -0.139 eV/atom
# energy above the lowest structure with this stoichiometry: 0 meV per atom
# total DFT energy (no corrections): -17.165 eV/cell

=====

No. 6
# Hf2VAgN (GGA-PBE, relaxed)
data_Hf2VAgN
_cell_length_a 4.481
_cell_length_b 4.481
_cell_length_c 3.910
_cell_angle_alpha 90.00
_cell_angle_beta 90.00
_cell_angle_gamma 90.00
_symmetry_space_group_name_H-M 'P 1'
_symmetry_Int_Tables_number 1
loop_
_symmetry_equiv_pos_as_xyz
'x,y,z'
loop_
_atom_site_label
_atom_site_fract_x
_atom_site_fract_y
_atom_site_fract_z
Hf1 0.000 0.500 0.000
Hf2 0.500 0.000 0.000
V1 0.000 0.000 0.500
Ag1 0.500 0.500 0.500
N1 0.000 0.000 0.000
# formation energy (no corrections): -0.65 eV per atom
# total DFT energy (no corrections): -43.446 eV/cell

=====

No. 7
# CaAgP3 (GGA-PBE, relaxed)
data_CaAgP3
_cell_length_a 4.872
_cell_length_b 4.872
_cell_length_c 4.872
_cell_angle_alpha 90.00
_cell_angle_beta 90.00
_cell_angle_gamma 90.00
_symmetry_space_group_name_H-M 'P 1'
_symmetry_Int_Tables_number 1
loop_
_symmetry_equiv_pos_as_xyz
'x,y,z'
loop_
_atom_site_label
_atom_site_fract_x
_atom_site_fract_y
_atom_site_fract_z
Ca1 0.000 0.000 0.000
Ag1 0.500 0.500 0.500
P1 0.000 0.500 0.500
P2 0.500 0.000 0.500
P3 0.500 0.500 0.000
# DFT formation energy: 0.438 eV/atom
# energy above the lowest structure with this stoichiometry: 0 meV per atom
# total DFT energy (no corrections): -18.890 eV/cell

=====

No. 8
# Tc2HgPt (GGA-PBE, relaxed)
data_Tc2HgPt
_cell_length_a 4.911
_cell_length_b 4.911
_cell_length_c 4.911
_cell_angle_alpha 131.97
_cell_angle_beta 131.97
_cell_angle_gamma 70.27
_symmetry_space_group_name_H-M 'P 1'
_symmetry_Int_Tables_number 1
loop_
_symmetry_equiv_pos_as_xyz
'x,y,z'
loop_
_atom_site_label
_atom_site_fract_x
_atom_site_fract_y
_atom_site_fract_z
Tc1 0.000 0.000 0.000
Tc2 0.750 0.250 0.500
Hg1 0.250 0.750 0.500
Pt1 0.500 0.500 0.000
# DFT formation energy: 0.329 eV/atom
# total DFT energy (no corrections): -25.760 eV/cell

=====

- Which value of total DFT energy (no corrections) does entry 3 give?
  -29.140 eV/cell